[1]
A PBEsol-optimized structure of Ca2Ge7O16. Source: the Alexandria database, functional meta-GGA SCAN.

Cell and atoms, written as POSCAR:
```
Ca2Ge7O16
1.0
11.350 0.000 0.000
0.000 11.350 0.000
0.000 0.000 4.671
Ca Ge O
4 14 32
direct
0.165 0.335 0.000
0.335 0.835 0.000
0.665 0.165 0.000
0.835 0.665 0.000
0.000 0.500 0.500
0.065 0.811 0.511
0.133 0.633 0.000
0.189 0.065 0.489
0.311 0.565 0.489
0.367 0.133 0.000
0.435 0.311 0.511
0.500 0.000 0.500
0.565 0.689 0.511
0.633 0.867 0.000
0.689 0.435 0.489
0.811 0.935 0.489
0.867 0.367 0.000
0.935 0.189 0.511
0.000 0.382 0.747
0.000 0.618 0.747
0.026 0.718 0.224
0.069 0.140 0.664
0.118 0.500 0.253
0.140 0.931 0.336
0.170 0.766 0.769
0.218 0.526 0.776
0.234 0.170 0.231
0.266 0.670 0.231
0.282 0.026 0.776
0.330 0.266 0.769
0.360 0.431 0.336
0.382 0.000 0.253
0.431 0.640 0.664
0.474 0.218 0.224
0.500 0.118 0.747
0.500 0.882 0.747
0.526 0.782 0.224
0.569 0.360 0.664
0.618 0.000 0.253
0.640 0.569 0.336
0.670 0.734 0.769
0.718 0.974 0.776
0.734 0.330 0.231
0.766 0.830 0.231
0.782 0.474 0.776
0.830 0.234 0.769
0.860 0.069 0.336
0.882 0.500 0.253
0.931 0.860 0.664
0.974 0.282 0.224
```

Output
total DFT energy (no corrections)	-610.5	eV/cell
DOS at the Fermi energy	0.00	states/eV/f.u.
symmetry	P-4b2
spin magnetization	0.0	Bohr magnetons per cell
ΔE_f (raw)	-2.10	eV/atom
theoretical density	4.7	g/cm³

[2]
A PBEsol-optimized structure of Ca5Ge3O11. Source: the Alexandria database, functional meta-GGA SCAN.

Cell and atoms, written as POSCAR:
```
Ca5Ge3O11
1.0
6.946 0.000 0.000
1.501 6.802 0.000
1.035 0.681 10.925
Ca Ge O
10 6 22
direct
0.006 0.031 0.243
0.076 0.452 0.754
0.289 0.702 0.004
0.319 0.674 0.494
0.459 0.093 0.766
0.541 0.907 0.234
0.681 0.326 0.506
0.711 0.298 0.996
0.924 0.548 0.246
0.994 0.969 0.757
0.193 0.183 0.464
0.207 0.214 0.016
0.453 0.429 0.266
0.547 0.571 0.734
0.793 0.786 0.984
0.807 0.817 0.536
0.012 0.687 0.895
0.027 0.712 0.606
0.134 0.152 0.875
0.164 0.158 0.622
0.245 0.580 0.210
0.283 0.965 0.387
0.294 0.993 0.103
0.366 0.343 0.424
0.375 0.364 0.962
0.399 0.778 0.796
0.409 0.425 0.669
0.591 0.575 0.331
0.601 0.222 0.204
0.625 0.636 0.038
0.634 0.657 0.576
0.706 0.007 0.897
0.717 0.035 0.613
0.755 0.420 0.790
0.836 0.842 0.378
0.866 0.848 0.125
0.973 0.288 0.394
0.988 0.313 0.105
```

Output
total DFT energy (no corrections)	-451.8	eV/cell
DOS at the Fermi energy	0.00	states/eV/f.u.
symmetry	P-1
spin magnetization	0.0	Bohr magnetons per cell
ΔE_f (raw)	-2.73	eV/atom
theoretical density	3.8	g/cm³

[3]
A PBEsol-optimized structure of CaGeO3. Source: the Alexandria database, functional meta-GGA SCAN.

Cell and atoms, written as POSCAR:
```
CaGeO3
1.0
5.951 -3.445 0.000
5.951 3.445 0.000
-3.876 0.000 10.250
Ca Ge O
6 6 18
direct
0.000 0.500 0.000
0.160 0.669 0.501
0.331 0.840 0.999
0.500 0.000 0.500
0.669 0.160 0.001
0.840 0.331 0.499
0.144 0.856 0.250
0.311 0.418 0.754
0.418 0.311 0.254
0.582 0.689 0.746
0.689 0.582 0.246
0.856 0.144 0.750
0.001 0.892 0.094
0.108 0.999 0.406
0.166 0.367 0.599
0.168 0.583 0.252
0.280 0.471 0.914
0.333 0.667 0.750
0.367 0.166 0.099
0.417 0.832 0.248
0.471 0.280 0.414
0.529 0.720 0.586
0.583 0.168 0.752
0.633 0.834 0.901
0.667 0.333 0.250
0.720 0.529 0.086
0.832 0.417 0.748
0.834 0.633 0.401
0.892 0.001 0.594
0.999 0.108 0.906
```

Output
total DFT energy (no corrections)	-359.5	eV/cell
DOS at the Fermi energy	0.00	states/eV/f.u.
symmetry	C2/c
spin magnetization	0.0	Bohr magnetons per cell
ΔE_f (raw)	-2.49	eV/atom
theoretical density	3.8	g/cm³

[4]
A PBEsol-optimized structure of Ca3Ge3Sb2O12. Source: the Alexandria database, functional meta-GGA SCAN.

Cell and atoms, written as POSCAR:
```
Ca3Ge3Sb2O12
1.0
-6.418 6.418 6.418
6.418 -6.418 6.418
6.418 6.418 -6.418
Ca Ge Sb O
12 12 8 48
direct
0.125 0.250 0.375
0.125 0.375 0.750
0.250 0.375 0.125
0.250 0.875 0.625
0.375 0.125 0.250
0.375 0.750 0.125
0.625 0.250 0.875
0.625 0.875 0.750
0.750 0.125 0.375
0.750 0.625 0.875
0.875 0.625 0.250
0.875 0.750 0.625
0.125 0.750 0.875
0.125 0.875 0.250
0.250 0.125 0.875
0.250 0.625 0.375
0.375 0.250 0.625
0.375 0.625 0.750
0.625 0.375 0.250
0.625 0.750 0.375
0.750 0.375 0.625
0.750 0.875 0.125
0.875 0.125 0.750
0.875 0.250 0.125
0.000 0.000 0.000
0.000 0.000 0.500
0.000 0.500 0.000
0.000 0.500 0.500
0.500 0.000 0.000
0.500 0.000 0.500
0.500 0.500 0.000
0.500 0.500 0.500
0.024 0.221 0.127
0.024 0.303 0.897
0.094 0.721 0.697
0.094 0.873 0.397
0.103 0.627 0.406
0.103 0.976 0.697
0.127 0.024 0.221
0.127 0.603 0.906
0.197 0.221 0.594
0.197 0.476 0.603
0.221 0.127 0.024
0.221 0.594 0.197
0.279 0.303 0.906
0.279 0.476 0.373
0.303 0.897 0.024
0.303 0.906 0.279
0.373 0.279 0.476
0.373 0.594 0.897
0.397 0.094 0.873
0.397 0.803 0.524
0.406 0.103 0.627
0.406 0.803 0.779
0.476 0.373 0.279
0.476 0.603 0.197
0.524 0.397 0.803
0.524 0.627 0.721
0.594 0.197 0.221
0.594 0.897 0.373
0.603 0.197 0.476
0.603 0.906 0.127
0.627 0.406 0.103
0.627 0.721 0.524
0.697 0.094 0.721
0.697 0.103 0.976
0.721 0.524 0.627
0.721 0.697 0.094
0.779 0.406 0.803
0.779 0.873 0.976
0.803 0.524 0.397
0.803 0.779 0.406
0.873 0.397 0.094
0.873 0.976 0.779
0.897 0.024 0.303
0.897 0.373 0.594
0.906 0.127 0.603
0.906 0.279 0.303
0.976 0.697 0.103
0.976 0.779 0.873
```

Output
total DFT energy (no corrections)	-1115.0	eV/cell
DOS at the Fermi energy	0.00	states/eV/f.u.
symmetry	Ia-3d
spin magnetization	0.0	Bohr magnetons per cell
ΔE_f (raw)	-2.16	eV/atom
theoretical density	4.9	g/cm³

[5]
A PBEsol-optimized structure of CaGeSb2O. Source: the Alexandria database, functional meta-GGA SCAN.

Cell and atoms, written as POSCAR:
```
CaGeSb2O
1.0
5.585 0.000 0.000
0.000 5.585 0.000
0.000 0.000 5.375
Ca Ge Sb O
1 1 2 1
direct
0.000 0.000 0.000
0.000 0.000 0.500
0.000 0.500 0.000
0.500 0.000 0.000
0.500 0.500 0.500
```

Output
total DFT energy (no corrections)	-103.2	eV/cell
DOS at the Fermi energy	4.73	states/eV/f.u.
symmetry	P4/mmm
spin magnetization	2.2	Bohr magnetons per cell
ΔE_f (raw)	1.26	eV/atom
excess energy over the best structure of this formula in the dataset	1687	meV per atom
theoretical density	3.7	g/cm³

[6]
A PBEsol-optimized structure of CaGeSb2O. Source: the Alexandria database, functional meta-GGA SCAN.

Cell and atoms, written as POSCAR:
```
CaGeSb2O
1.0
5.666 0.000 0.000
0.000 5.666 0.000
0.000 0.000 3.614
Ca Ge Sb O
1 1 2 1
direct
0.000 0.000 0.000
0.500 0.500 0.500
0.000 0.500 0.500
0.500 0.000 0.500
0.500 0.500 0.000
```

Output
total DFT energy (no corrections)	-111.7	eV/cell
DOS at the Fermi energy	2.73	states/eV/f.u.
symmetry	P4/mmm
spin magnetization	0.0	Bohr magnetons per cell
ΔE_f (raw)	-0.43	eV/atom
excess energy over the best structure of this formula in the dataset	0	meV per atom
theoretical density	5.3	g/cm³

[7]
A PBEsol-optimized structure of CaTiGe2O6. Source: the Alexandria database, functional meta-GGA SCAN.

Cell and atoms, written as POSCAR:
```
CaTiGe2O6
1.0
11.714 0.000 0.000
0.000 8.534 0.000
-0.857 0.000 5.307
Ca Ti Ge O
4 4 8 24
direct
0.245 0.080 0.179
0.245 0.420 0.679
0.755 0.580 0.321
0.755 0.920 0.821
0.224 0.665 0.164
0.224 0.835 0.664
0.776 0.165 0.336
0.776 0.335 0.836
0.020 0.147 0.649
0.020 0.353 0.149
0.438 0.132 0.692
0.438 0.368 0.192
0.562 0.632 0.808
0.562 0.868 0.308
0.980 0.647 0.851
0.980 0.853 0.351
0.075 0.545 0.198
0.075 0.955 0.698
0.095 0.237 0.947
0.095 0.263 0.447
0.124 0.655 0.793
0.124 0.845 0.293
0.286 0.665 0.507
0.286 0.835 0.007
0.309 0.504 0.084
0.309 0.996 0.584
0.360 0.225 0.938
0.360 0.275 0.438
0.640 0.725 0.562
0.640 0.775 0.062
0.691 0.004 0.416
0.691 0.496 0.916
0.714 0.165 0.993
0.714 0.335 0.493
0.876 0.155 0.707
0.876 0.345 0.207
0.905 0.737 0.553
0.905 0.763 0.053
0.925 0.045 0.302
0.925 0.455 0.802
```

Output
total DFT energy (no corrections)	-504.9	eV/cell
DOS at the Fermi energy	0.00	states/eV/f.u.
symmetry	P2_1/c
spin magnetization	0.0	Bohr magnetons per cell
ΔE_f (raw)	-2.50	eV/atom
theoretical density	4.1	g/cm³

[8]
A PBEsol-optimized structure of CaTiGeO5. Source: the Alexandria database, functional meta-GGA SCAN.

Cell and atoms, written as POSCAR:
```
CaTiGeO5
1.0
3.331 -4.434 0.000
3.331 4.434 0.000
-2.879 0.000 6.530
Ca Ti Ge O
2 2 2 10
direct
0.175 0.825 0.750
0.825 0.175 0.250
0.500 0.500 0.000
0.500 0.500 0.500
0.181 0.819 0.250
0.819 0.181 0.750
0.134 0.247 0.922
0.185 0.603 0.394
0.247 0.134 0.422
0.397 0.815 0.106
0.433 0.567 0.750
0.567 0.433 0.250
0.603 0.185 0.894
0.753 0.866 0.578
0.815 0.397 0.606
0.866 0.753 0.078
```

Output
total DFT energy (no corrections)	-197.7	eV/cell
DOS at the Fermi energy	0.00	states/eV/f.u.
symmetry	C2/c
spin magnetization	0.0	Bohr magnetons per cell
ΔE_f (raw)	-2.86	eV/atom
theoretical density	4.1	g/cm³

Look up the DOS at the Fermi energy of the fifth one.
4.73 states/eV/f.u.